First-principles (GGA-PBEsol) data for a relaxed structure of Y2InSi, as listed in Alexandria.

Calculated values
The calculation puts the uncorrected formation energy at -0.6799 eV per atom. For the magnetic moment, the calculation gives 0.00 μB per formula unit. The value obtained for the density of states at the Fermi level is 2.9 states/eV per cell. As for the space group: Amm2, No. 38. The uncorrected energy is -25.1 eV per cell.

Cell lengths 4.052, 4.360, 5.883 Å; angles 111.75, 90.00, 90.00 degrees
Fractional coordinates of all 4 atoms:
Y1 0.000 0.986 0.972
Y2 0.500 0.268 0.536
Si1 0.500 0.539 0.079
In1 0.000 0.702 0.404